Entry 1:
DFT (PBE) results for a geometry-optimized ZrHg4 structure.

symmetry	I4/mmm, No. 139
final energy	-8.4	eV per formula unit

Cell and atoms, written as POSCAR:
```
ZrHg4
1.0
-1.953 1.953 8.278
1.953 -1.953 8.278
1.953 1.953 -8.278
Zr Hg
1 4
Direct
0.000 0.000 0.000
0.250 0.750 0.500
0.407 0.407 0.000
0.593 0.593 0.000
0.750 0.250 0.500
```



Entry 2:
DFT (PBE) results for a geometry-optimized Zr2Hg structure.

symmetry	I4_1/amd, No. 141
final energy	-17.2	eV per formula unit

Cell and atoms, written as POSCAR:
```
Zr2Hg
1.0
-1.552 1.552 14.115
1.552 -1.552 14.115
1.552 1.552 -14.115
Zr Hg
4 2
Direct
0.296 0.546 0.750
0.454 0.704 0.750
0.546 0.296 0.250
0.704 0.454 0.250
0.125 0.875 0.250
0.875 0.125 0.750
```



Entry 3:
DFT (PBE) results for a geometry-optimized Zr2Hg3 structure.

symmetry	Fdd2, No. 43
final energy	-18.2	eV per formula unit

Cell and atoms, written as POSCAR:
```
Zr2Hg3
1.0
0.000 7.364 2.951
5.098 0.000 2.951
5.098 7.364 0.000
Zr Hg
4 6
Direct
0.001 0.499 0.108
0.142 0.858 0.249
0.499 0.001 0.392
0.858 0.142 0.751
0.106 0.106 0.894
0.356 0.356 0.144
0.481 0.580 0.301
0.580 0.481 0.638
0.612 0.949 0.670
0.949 0.612 0.769
```



Entry 4:
DFT (PBE) results for a geometry-optimized Zr3Hg structure.

symmetry	P6_3/mmc, No. 194
final energy	-26.3	eV per formula unit

Cell and atoms, written as POSCAR:
```
Zr3Hg
1.0
6.257 0.000 0.000
-3.128 5.418 0.000
0.000 0.000 5.237
Zr Hg
6 2
Direct
0.168 0.337 0.250
0.168 0.832 0.250
0.337 0.168 0.750
0.663 0.832 0.250
0.832 0.168 0.750
0.832 0.663 0.750
0.333 0.667 0.750
0.667 0.333 0.250
```



Entry 5:
DFT (PBE) results for a geometry-optimized Zr4Hg5 structure.

symmetry	P6_3/mcm, No. 193
final energy	-36.6	eV per formula unit

Cell and atoms, written as POSCAR:
```
Zr4Hg5
1.0
8.728 0.000 0.000
-4.364 7.558 0.000
0.000 0.000 5.999
Zr Hg
8 10
Direct
0.000 0.000 0.000
0.000 0.000 0.500
0.000 0.350 0.250
0.000 0.650 0.750
0.350 0.000 0.250
0.350 0.350 0.750
0.650 0.000 0.750
0.650 0.650 0.250
0.000 0.316 0.750
0.000 0.684 0.250
0.316 0.000 0.750
0.316 0.316 0.250
0.333 0.667 0.000
0.333 0.667 0.500
0.667 0.333 0.000
0.667 0.333 0.500
0.684 0.000 0.250
0.684 0.684 0.750
```



Entry 6:
DFT (PBE) results for a geometry-optimized ZrHg3 structure.

symmetry	C2/m, No. 12
final energy	-9.4	eV per formula unit

Cell and atoms, written as POSCAR:
```
ZrHg3
1.0
4.935 -1.637 0.000
4.935 1.637 0.000
-1.013 0.000 5.613
Zr Hg
1 3
Direct
0.000 0.000 0.000
0.253 0.253 0.757
0.500 0.500 0.500
0.747 0.747 0.243
```



Entry 7:
DFT (PBE) results for a geometry-optimized Zr3Hg structure.

symmetry	Pm-3n, No. 223
final energy	-26.7	eV per formula unit

Cell and atoms, written as POSCAR:
```
Zr3Hg
1.0
5.599 0.000 0.000
0.000 5.599 0.000
0.000 0.000 5.599
Zr Hg
6 2
Direct
0.000 0.250 0.500
0.000 0.750 0.500
0.250 0.500 0.000
0.500 0.000 0.250
0.500 0.000 0.750
0.750 0.500 0.000
0.000 0.000 0.000
0.500 0.500 0.500
```



Entry 8:
DFT (PBE) results for a geometry-optimized Zr2Hg3 structure.

symmetry	Ibam, No. 72
final energy	-17.6	eV per formula unit

Cell and atoms, written as POSCAR:
```
Zr2Hg3
1.0
-2.835 7.462 2.739
2.835 -7.462 2.739
2.835 7.462 -2.739
Zr Hg
4 6
Direct
0.192 0.157 0.348
0.308 0.657 0.965
0.692 0.343 0.035
0.808 0.843 0.652
0.108 0.630 0.739
0.250 0.250 0.000
0.392 0.130 0.522
0.608 0.870 0.478
0.750 0.750 0.000
0.892 0.370 0.261
```



Entry 9:
DFT (PBE) results for a geometry-optimized ZrHg structure.

symmetry	Fd-3m, No. 227
final energy	-8.4	eV per formula unit

Cell and atoms, written as POSCAR:
```
ZrHg
1.0
0.000 3.563 3.563
3.563 0.000 3.563
3.563 3.563 0.000
Zr Hg
2 2
Direct
0.125 0.125 0.125
0.875 0.875 0.875
0.375 0.375 0.375
0.625 0.625 0.625
```



Entry 10:
DFT (PBE) results for a geometry-optimized Zr3Hg structure.

symmetry	Pnma, No. 62
final energy	-26.1	eV per formula unit

Cell and atoms, written as POSCAR:
```
Zr3Hg
1.0
5.687 0.000 0.000
0.000 10.320 0.000
0.000 0.000 6.144
Zr Hg
12 4
Direct
0.020 0.250 0.142
0.232 0.516 0.371
0.232 0.984 0.371
0.268 0.016 0.871
0.268 0.484 0.871
0.480 0.750 0.642
0.520 0.250 0.358
0.732 0.516 0.129
0.732 0.984 0.129
0.768 0.016 0.629
0.768 0.484 0.629
0.980 0.750 0.858
0.080 0.250 0.624
0.420 0.750 0.124
0.580 0.250 0.876
0.920 0.750 0.376
```



Entry 11:
DFT (PBE) results for a geometry-optimized ZrHg3 structure.

symmetry	Fm-3m, No. 225
final energy	-9.1	eV per formula unit

Cell and atoms, written as POSCAR:
```
ZrHg3
1.0
0.000 3.535 3.535
3.535 0.000 3.535
3.535 3.535 0.000
Zr Hg
1 3
Direct
0.000 0.000 0.000
0.250 0.250 0.250
0.500 0.500 0.500
0.750 0.750 0.750
```



Entry 12:
DFT (PBE) results for a geometry-optimized Zr3Hg structure.

symmetry	Pmmn, No. 59
final energy	-26.3	eV per formula unit

Cell and atoms, written as POSCAR:
```
Zr3Hg
1.0
5.224 0.000 0.000
0.000 6.123 0.000
0.000 0.000 5.574
Zr Hg
6 2
Direct
0.250 0.000 0.143
0.250 0.250 0.642
0.250 0.500 0.143
0.750 0.000 0.857
0.750 0.500 0.857
0.750 0.750 0.358
0.250 0.750 0.656
0.750 0.250 0.344
```



Entry 13:
DFT (PBE) results for a geometry-optimized ZrHg structure.

symmetry	Imma, No. 74
final energy	-9.1	eV per formula unit

Cell and atoms, written as POSCAR:
```
ZrHg
1.0
-1.629 2.622 5.174
1.629 -2.622 5.174
1.629 2.622 -5.174
Zr Hg
2 2
Direct
0.374 0.124 0.250
0.626 0.876 0.750
0.121 0.371 0.750
0.879 0.629 0.250
```



In eV per atom, the formation enthalpy at 0 K values for the records above are, in order, 0.275; 0.049; -0.049; -0.076; -0.102; 0.023; -0.181; 0.077; 0.241; -0.044; 0.080; -0.086; -0.103.